Entry 1:
This record from Alexandria describes a relaxed Tb2GaGe3 crystal. The functional is GGA-PBE.

Results
As for the space-group type: No. 63. For the total moment, the calculation gives 0.0 μB per formula unit. Its formation energy from the elements is -390 meV per atom. The electronic total energy is -56.95 eV for the cell shown.

Geometry as CIF:
```
data_Tb2GaGe3
_chemical_formula_sum 'Tb4 Ga2 Ge6'
_symmetry_space_group_name_H-M 'P 1'
_symmetry_Int_Tables_number 1
_symmetry_space_group_name_Hall 'P 1'
_cell_length_a 7.648
_cell_length_b 7.648
_cell_length_c 5.095
_cell_angle_alpha 90.00
_cell_angle_beta 90.00
_cell_angle_gamma 68.81
loop_
_atom_site_label
_atom_site_fract_x
_atom_site_fract_y
_atom_site_fract_z
Tb1 0.039 0.670 0.750
Tb2 0.330 0.961 0.750
Tb3 0.670 0.039 0.250
Tb4 0.961 0.330 0.250
Ga1 0.365 0.635 0.250
Ga2 0.635 0.365 0.750
Ge1 0.079 0.921 0.250
Ge2 0.329 0.329 0.000
Ge3 0.329 0.329 0.500
Ge4 0.671 0.671 0.000
Ge5 0.671 0.671 0.500
Ge6 0.921 0.079 0.750
```

***

Entry 2:
This record from Alexandria describes a relaxed Tb4GaGe3 crystal. The functional is GGA-PBE.

Results
As for the space-group type: No. 25. For the total moment, the calculation gives 0.0 μB per formula unit. Its formation energy from the elements is -838 meV per atom. The electronic total energy is -42.10 eV for the cell shown.

Geometry as CIF:
```
data_Tb4GaGe3
_chemical_formula_sum 'Tb4 Ga1 Ge3'
_symmetry_space_group_name_H-M 'P 1'
_symmetry_Int_Tables_number 1
_symmetry_space_group_name_Hall 'P 1'
_cell_length_a 3.993
_cell_length_b 4.330
_cell_length_c 10.828
_cell_angle_alpha 90.00
_cell_angle_beta 90.00
_cell_angle_gamma 90.00
loop_
_atom_site_label
_atom_site_fract_x
_atom_site_fract_y
_atom_site_fract_z
Tb1 0.000 0.000 0.000
Tb2 0.000 0.500 0.499
Tb3 0.500 0.000 0.277
Tb4 0.500 0.500 0.779
Ga1 0.500 0.000 0.559
Ge1 0.000 0.000 0.719
Ge2 0.000 0.500 0.222
Ge3 0.500 0.500 0.054
```

***

Entry 3:
This record from Alexandria describes a relaxed Tb3Ga3Ge2 crystal. The functional is GGA-PBE.

Results
As for the space-group type: No. 63. For the total moment, the calculation gives 0.0 μB per formula unit. Its formation energy from the elements is -663 meV per atom. The electronic total energy is -75.02 eV for the cell shown.

Geometry as CIF:
```
data_Tb3Ga3Ge2
_chemical_formula_sum 'Tb6 Ga6 Ge4'
_symmetry_space_group_name_H-M 'P 1'
_symmetry_Int_Tables_number 1
_symmetry_space_group_name_Hall 'P 1'
_cell_length_a 5.899
_cell_length_b 5.899
_cell_length_c 15.495
_cell_angle_alpha 90.00
_cell_angle_beta 90.00
_cell_angle_gamma 139.45
loop_
_atom_site_label
_atom_site_fract_x
_atom_site_fract_y
_atom_site_fract_z
Tb1 0.079 0.921 0.750
Tb2 0.361 0.639 0.592
Tb3 0.361 0.639 0.908
Tb4 0.639 0.361 0.092
Tb5 0.639 0.361 0.408
Tb6 0.921 0.079 0.250
Ga1 0.068 0.932 0.559
Ga2 0.068 0.932 0.941
Ga3 0.182 0.818 0.250
Ga4 0.818 0.182 0.750
Ga5 0.932 0.068 0.059
Ga6 0.932 0.068 0.441
Ge1 0.338 0.662 0.120
Ge2 0.338 0.662 0.380
Ge3 0.662 0.338 0.620
Ge4 0.662 0.338 0.880
```

***

Entry 4:
This record from Alexandria describes a relaxed Tb3GaGe3 crystal. The functional is GGA-PBE.

Results
The calculation puts the energy relative to the lowest polymorph listed for this composition at 0.0 meV/atom. As for the space-group type: No. 12. For the total moment, the calculation gives 0.0 μB per formula unit. Its formation energy from the elements is -760 meV per atom. The electronic total energy is -72.18 eV for the cell shown.

Geometry as CIF:
```
data_Tb3GaGe3
_chemical_formula_sum 'Tb6 Ga2 Ge6'
_symmetry_space_group_name_H-M 'P 1'
_symmetry_Int_Tables_number 1
_symmetry_space_group_name_Hall 'P 1'
_cell_length_a 5.854
_cell_length_b 5.854
_cell_length_c 14.056
_cell_angle_alpha 106.16
_cell_angle_beta 106.16
_cell_angle_gamma 42.32
loop_
_atom_site_label
_atom_site_fract_x
_atom_site_fract_y
_atom_site_fract_z
Tb1 0.014 0.014 0.376
Tb2 0.107 0.107 0.923
Tb3 0.235 0.235 0.226
Tb4 0.765 0.765 0.774
Tb5 0.893 0.893 0.077
Tb6 0.986 0.986 0.624
Ga1 0.271 0.271 0.620
Ga2 0.729 0.729 0.380
Ge1 0.366 0.366 0.458
Ge2 0.382 0.382 0.923
Ge3 0.491 0.491 0.777
Ge4 0.509 0.509 0.223
Ge5 0.618 0.618 0.077
Ge6 0.634 0.634 0.542
```

***

Entry 5:
This record from Alexandria describes a relaxed TbGaGe2 crystal. The functional is GGA-PBE.

Results
The calculation puts the energy relative to the lowest polymorph listed for this composition at 173.5 meV/atom. As for the space-group type: No. 166. For the total moment, the calculation gives 0.0 μB per formula unit. Its formation energy from the elements is -291 meV per atom. The electronic total energy is -54.16 eV for the cell shown.

Geometry as CIF:
```
data_TbGaGe2
_chemical_formula_sum 'Tb3 Ga3 Ge6'
_symmetry_space_group_name_H-M 'P 1'
_symmetry_Int_Tables_number 1
_symmetry_space_group_name_Hall 'P 1'
_cell_length_a 4.501
_cell_length_b 4.501
_cell_length_c 14.504
_cell_angle_alpha 90.00
_cell_angle_beta 90.00
_cell_angle_gamma 120.00
loop_
_atom_site_label
_atom_site_fract_x
_atom_site_fract_y
_atom_site_fract_z
Tb1 0.000 0.000 0.000
Tb2 0.333 0.667 0.667
Tb3 0.667 0.333 0.333
Ga1 0.000 0.000 0.500
Ga2 0.333 0.667 0.167
Ga3 0.667 0.333 0.833
Ge1 0.000 0.000 0.218
Ge2 0.000 0.000 0.782
Ge3 0.333 0.667 0.449
Ge4 0.333 0.667 0.884
Ge5 0.667 0.333 0.116
Ge6 0.667 0.333 0.551
```

***

Entry 6:
This record from Alexandria describes a relaxed Tb3Ga2Ge crystal. The functional is GGA-PBE.

Results
As for the space-group type: No. 62. For the total moment, the calculation gives 0.0 μB per formula unit. Its formation energy from the elements is -636 meV per atom. The electronic total energy is -113.51 eV for the cell shown.

Geometry as CIF:
```
data_Tb3Ga2Ge
_chemical_formula_sum 'Tb12 Ga8 Ge4'
_symmetry_space_group_name_H-M 'P 1'
_symmetry_Int_Tables_number 1
_symmetry_space_group_name_Hall 'P 1'
_cell_length_a 11.945
_cell_length_b 4.108
_cell_length_c 11.932
_cell_angle_alpha 90.00
_cell_angle_beta 90.00
_cell_angle_gamma 90.00
loop_
_atom_site_label
_atom_site_fract_x
_atom_site_fract_y
_atom_site_fract_z
Tb1 0.058 0.250 0.122
Tb2 0.118 0.750 0.555
Tb3 0.211 0.250 0.793
Tb4 0.289 0.750 0.293
Tb5 0.382 0.250 0.055
Tb6 0.442 0.750 0.622
Tb7 0.558 0.250 0.378
Tb8 0.618 0.750 0.945
Tb9 0.711 0.250 0.707
Tb10 0.789 0.750 0.207
Tb11 0.882 0.250 0.445
Tb12 0.942 0.750 0.878
Ga1 0.012 0.750 0.307
Ga2 0.187 0.750 0.998
Ga3 0.313 0.250 0.498
Ga4 0.488 0.250 0.807
Ga5 0.512 0.750 0.193
Ga6 0.687 0.750 0.502
Ga7 0.813 0.250 0.002
Ga8 0.988 0.250 0.693
Ge1 0.131 0.250 0.370
Ge2 0.369 0.750 0.870
Ge3 0.631 0.250 0.130
Ge4 0.869 0.750 0.630
```

***

Entry 7:
This record from Alexandria describes a relaxed TbGa4Ge crystal. The functional is GGA-PBE.

Results
The calculation puts the energy relative to the lowest polymorph listed for this composition at 117.2 meV/atom. As for the space-group type: No. 141. For the total moment, the calculation gives 0.0 μB per formula unit. Its formation energy from the elements is -82 meV per atom. The electronic total energy is -43.70 eV for the cell shown.

Geometry as CIF:
```
data_TbGa4Ge
_chemical_formula_sum 'Tb2 Ga8 Ge2'
_symmetry_space_group_name_H-M 'P 1'
_symmetry_Int_Tables_number 1
_symmetry_space_group_name_Hall 'P 1'
_cell_length_a 10.526
_cell_length_b 10.526
_cell_length_c 10.526
_cell_angle_alpha 151.42
_cell_angle_beta 151.42
_cell_angle_gamma 40.86
loop_
_atom_site_label
_atom_site_fract_x
_atom_site_fract_y
_atom_site_fract_z
Tb1 0.375 0.625 0.750
Tb2 0.625 0.375 0.250
Ga1 0.233 0.240 0.507
Ga2 0.233 0.725 0.993
Ga3 0.240 0.233 0.007
Ga4 0.275 0.767 0.507
Ga5 0.725 0.233 0.493
Ga6 0.760 0.767 0.993
Ga7 0.767 0.275 0.007
Ga8 0.767 0.760 0.493
Ge1 0.125 0.875 0.250
Ge2 0.875 0.125 0.750
```

***

Entry 8:
This record from Alexandria describes a relaxed Tb2GaGe2 crystal. The functional is GGA-PBE.

Results
As for the space-group type: No. 71. For the total moment, the calculation gives 0.0 μB per formula unit. Its formation energy from the elements is -733 meV per atom. The electronic total energy is -50.37 eV for the cell shown.

Geometry as CIF:
```
data_Tb2GaGe2
_chemical_formula_sum 'Tb4 Ga2 Ge4'
_symmetry_space_group_name_H-M 'P 1'
_symmetry_Int_Tables_number 1
_symmetry_space_group_name_Hall 'P 1'
_cell_length_a 4.075
_cell_length_b 6.263
_cell_length_c 8.619
_cell_angle_alpha 90.00
_cell_angle_beta 90.00
_cell_angle_gamma 90.00
loop_
_atom_site_label
_atom_site_fract_x
_atom_site_fract_y
_atom_site_fract_z
Tb1 0.000 0.000 0.219
Tb2 0.000 0.000 0.781
Tb3 0.500 0.500 0.281
Tb4 0.500 0.500 0.719
Ga1 0.000 0.500 0.000
Ga2 0.500 0.000 0.500
Ge1 0.000 0.292 0.500
Ge2 0.000 0.708 0.500
Ge3 0.500 0.208 0.000
Ge4 0.500 0.792 0.000
```

***

What did the eighth record say?
This record from Alexandria describes a relaxed Tb2GaGe2 crystal. The functional is GGA-PBE.

Results
As for the space-group type: No. 71. For the total moment, the calculation gives 0.0 μB per formula unit. Its formation energy from the elements is -733 meV per atom. The electronic total energy is -50.37 eV for the cell shown.

Geometry as CIF:
```
data_Tb2GaGe2
_chemical_formula_sum 'Tb4 Ga2 Ge4'
_symmetry_space_group_name_H-M 'P 1'
_symmetry_Int_Tables_number 1
_symmetry_space_group_name_Hall 'P 1'
_cell_length_a 4.075
_cell_length_b 6.263
_cell_length_c 8.619
_cell_angle_alpha 90.00
_cell_angle_beta 90.00
_cell_angle_gamma 90.00
loop_
_atom_site_label
_atom_site_fract_x
_atom_site_fract_y
_atom_site_fract_z
Tb1 0.000 0.000 0.219
Tb2 0.000 0.000 0.781
Tb3 0.500 0.500 0.281
Tb4 0.500 0.500 0.719
Ga1 0.000 0.500 0.000
Ga2 0.500 0.000 0.500
Ge1 0.000 0.292 0.500
Ge2 0.000 0.708 0.500
Ge3 0.500 0.208 0.000
Ge4 0.500 0.792 0.000
```

***

> Look up the electronic total energy of the first one.

-56.95 eV for the cell shown

***

> total moment of number 4 (Tb3GaGe3)?

0.0 μB per formula unit